Entry from Alexandria: a geometry-optimized CsAc2IO8 structure (PBE).

a b c (Å): 4.723 5.470 8.169
angles (deg): 89.76 74.46 89.54
Atoms (fractional coordinates):
Cs  0.000  0.000  0.000
Ac  0.379  0.499  0.304
Ac  0.621  0.501  0.696
I  0.000  0.000  0.500
O  0.165  0.261  0.602
O  0.169  0.739  0.603
O  0.323  0.999  0.304
O  0.337  0.498  0.005
O  0.663  0.502  0.995
O  0.677  0.001  0.696
O  0.831  0.261  0.397
O  0.835  0.739  0.398

Formation energy without anion corrections (eV per formula unit): -21.79

***

Entry from Alexandria: a geometry-optimized Tm8MgC4 structure (PBE).

a b c (Å): 8.915 8.915 11.985
angles (deg): 131.11 131.11 23.02
Atoms (fractional coordinates):
Tm  0.042  0.042  0.230
Tm  0.298  0.298  0.437
Tm  0.337  0.337  0.158
Tm  0.362  0.362  0.904
Tm  0.638  0.638  0.096
Tm  0.663  0.663  0.842
Tm  0.702  0.702  0.563
Tm  0.958  0.958  0.770
Mg  0.000  0.000  0.500
C  0.150  0.150  0.967
C  0.332  0.332  0.672
C  0.668  0.668  0.328
C  0.850  0.850  0.033

E_form (eV per formula unit): -3.60

***

Entry from Alexandria: a geometry-optimized HgGe2Au2 structure (PBE).

a b c (Å): 7.448 6.797 6.724
angles (deg): 66.85 57.04 56.11
Atoms (fractional coordinates):
Hg  0.125  0.125  0.125
Hg  0.875  0.875  0.875
Ge  0.255  0.255  0.495
Ge  0.495  0.495  0.255
Ge  0.505  0.505  0.745
Ge  0.745  0.745  0.505
Au  0.138  0.612  0.138
Au  0.388  0.862  0.388
Au  0.612  0.138  0.612
Au  0.862  0.388  0.862

E_form (eV per formula unit): 0.25

***

Entry from Alexandria: a geometry-optimized TcNi2Pt structure (PBE).

a b c (Å): 2.668 4.424 4.601
angles (deg): 90.00 90.00 90.00
Atoms (fractional coordinates):
Tc  0.000  0.000  0.000
Ni  0.000  0.500  0.500
Ni  0.500  0.500  0.000
Pt  0.500  0.000  0.500

E_form (eV per formula unit): 0.73

***

no.,total magnetization (Bohr magnetons per cell),total DFT energy (no corrections) (eV per atom)
1,0.00,-6.01
2,0.00,-5.99
3,0.00,-3.17
4,1.79,-6.81